The following is a DFT calculation (PBE) of a relaxed PH2SF crystal.

Properties
- Crystal system: tetragonal
- Total energy: -3.37 eV/atom
- DOS at the Fermi energy: 1.40 states/eV/cell
- SG: P4/mmm, No. 123
- Calculated volume: 79 Å³/f.u.

Cell: 3.241 3.241 7.528 Å, 90.00 90.00 90.00°
Atoms (fractional coordinates):
P (0.000, 0.000, 0.000)
H (0.000, 0.500, 0.500)
H (0.500, 0.000, 0.500)
S (0.500, 0.500, 0.500)
F (0.500, 0.500, 0.000)